1.
Below is a relaxed CaBH3 crystal, with properties calculated at the GGA-PBE level.

Structure (extended XYZ):
```
20
Lattice="5.134 0.000 -0.553 0.000 5.483 0.000 -1.047 0.000 6.869" Properties=species:S:1:pos:R:3 pbc="T T T"
Ca 4.827 3.450 1.138
Ca 2.351 0.709 1.467
Ca -0.740 2.033 5.178
Ca 1.736 4.774 4.849
B 2.133 3.304 0.239
B -0.090 0.562 2.919
B 1.954 2.179 6.077
B 4.176 4.921 3.397
H -0.159 3.875 3.989
H 1.155 1.134 6.037
H 4.246 1.608 2.327
H 2.932 4.349 0.279
H 4.038 5.215 4.610
H 2.093 2.473 4.864
H 0.049 0.268 1.706
H 1.994 3.009 1.452
H 3.095 4.430 2.979
H 4.082 1.689 -0.373
H 0.992 1.053 3.337
H 0.004 3.794 6.689
```

Computed properties:
For the spin magnetization, the calculation gives 0.000 μB per formula unit. As for the calculated volume: 9.509 A^3/atom. The calculation puts the raw total energy at -3.9934 eV per atom. The distance to the lowest polymorph of the same formula comes out at 0.000 eV per atom.



2.
Below is a relaxed ScNi2Ir crystal, with properties calculated at the GGA-PBE level.

Structure (extended XYZ):
```
4
Lattice="4.658 0.000 -0.012 3.760 2.750 -0.012 0.954 0.312 4.435" Properties=species:S:1:pos:R:3 pbc="T T T"
Ir 2.343 0.765 1.103
Ni 8.371 2.734 0.105
Ni 4.733 1.546 2.075
Sc 7.029 2.296 3.308
```

Computed properties:
For the spin magnetization, the calculation gives 0.006 μB per formula unit. The formation energy is -0.281 eV/atom. As for the calculated volume: 14.213 A^3/atom. The calculation puts the raw total energy at -6.9694 eV per atom.



3.
Below is a relaxed V2Cr2H7 crystal, with properties calculated at the GGA-PBE level.

Structure (extended XYZ):
```
11
Lattice="2.891 0.000 0.000 0.000 2.891 0.000 0.000 0.000 8.364" Properties=species:S:1:pos:R:3 pbc="T T T"
V 1.445 0.000 7.321
V 0.000 1.445 1.043
Cr 1.445 0.000 3.120
Cr 0.000 1.445 5.243
H 1.445 1.445 0.000
H 0.000 0.000 2.110
H 1.445 1.445 2.124
H 0.000 0.000 4.182
H 1.445 1.445 4.182
H 0.000 0.000 6.254
H 1.445 1.445 6.239
```

Computed properties:
For the spin magnetization, the calculation gives 1.968 μB per formula unit. As for the calculated volume: 6.353 A^3/atom. The calculation puts the raw total energy at -5.6125 eV per atom.



4.
Below is a relaxed KBe3 crystal, with properties calculated at the GGA-PBE level.

Structure (extended XYZ):
```
4
Lattice="3.720 0.000 0.000 0.000 2.461 -0.064 0.000 0.894 7.006" Properties=species:S:1:pos:R:3 pbc="T T T"
Be 0.000 0.877 6.171
Be 1.860 2.516 5.207
Be 0.000 1.694 4.306
K 1.860 0.839 1.736
```

Computed properties:
For the spin magnetization, the calculation gives 0.000 μB per formula unit. The formation energy is 0.717 eV/atom. As for the calculated volume: 16.089 A^3/atom. The calculation puts the raw total energy at -2.3522 eV per atom. The distance to the lowest polymorph of the same formula comes out at 0.219 eV per atom.



5.
Below is a relaxed Pm2Zn3CuPt4 crystal, with properties calculated at the GGA-PBE level.

Structure (extended XYZ):
```
10
Lattice="-4.107 0.073 -0.174 -0.184 -0.709 4.046 0.112 10.936 1.921" Properties=species:S:1:pos:R:3 pbc="T T T"
Pm -2.026 2.740 0.388
Pm -0.007 7.878 3.469
Zn 0.056 5.468 0.960
Zn -1.956 9.505 1.576
Zn -0.077 1.113 2.281
Cu -2.089 5.150 2.896
Pt -2.145 -0.318 1.936
Pt 0.000 0.000 0.000
Pt -1.981 7.057 1.146
Pt -0.052 3.561 2.710
```

Computed properties:
For the spin magnetization, the calculation gives 0.000 μB per formula unit. The formation energy is -0.730 eV/atom. As for the calculated volume: 18.769 A^3/atom. The calculation puts the raw total energy at -4.8884 eV per atom.



6.
Below is a relaxed Pa2Ni4Ge3Sb crystal, with properties calculated at the GGA-PBE level.

Structure (extended XYZ):
```
10
Lattice="-2.290 -3.442 0.789 -0.612 -0.539 -4.129 7.898 -5.362 -0.471" Properties=species:S:1:pos:R:3 pbc="T T T"
Pa 0.649 -2.939 0.287
Pa 5.798 -4.414 -2.429
Ni -1.451 -1.990 -1.670
Ni 0.000 0.000 0.000
Ni 3.877 -5.131 0.095
Ni 2.569 -2.222 -2.236
Ge 3.949 -2.681 -0.236
Ge 5.776 -6.420 -0.018
Ge 0.671 -0.933 -2.123
Sb 2.498 -4.672 -1.906
```

Computed properties:
For the spin magnetization, the calculation gives 0.000 μB per formula unit. As for the calculated volume: 16.930 A^3/atom. The calculation puts the raw total energy at -6.5352 eV per atom. The uncorrected formation energy is -526 meV per atom.



7.
Below is a relaxed ZrTcMo2 crystal, with properties calculated at the GGA-PBE level.

Structure (extended XYZ):
```
4
Lattice="-4.117 2.521 2.205 0.844 -5.049 1.400 1.007 0.380 2.640" Properties=species:S:1:pos:R:3 pbc="T T T"
Mo 0.000 0.000 0.000
Mo -1.637 -1.264 1.802
Tc -1.555 1.450 2.422
Zr 0.926 -2.335 2.020
```

Computed properties:
For the spin magnetization, the calculation gives 0.000 μB per formula unit. The formation energy is -0.020 eV/atom. As for the calculated volume: 16.734 A^3/atom. The calculation puts the raw total energy at -10.1641 eV per atom. The distance to the lowest polymorph of the same formula comes out at 0.101 eV per atom.



8.
Below is a relaxed NdTm3Mg crystal, with properties calculated at the GGA-PBE level.

Structure (extended XYZ):
```
10
Lattice="-2.535 -0.422 -2.429 3.671 -7.696 0.030 -6.962 -3.290 7.837" Properties=species:S:1:pos:R:3 pbc="T T T"
Nd 0.207 -4.980 1.944
Nd -6.033 -6.429 3.494
Tm -1.502 -1.778 -1.979
Tm -4.324 -9.630 7.417
Tm -4.891 -3.380 1.835
Tm -0.935 -8.029 3.603
Tm -0.199 -8.075 0.284
Tm -5.627 -3.333 5.154
Mg -1.858 -2.605 1.107
Mg -3.969 -8.804 4.331
```

Computed properties:
For the spin magnetization, the calculation gives 0.000 μB per formula unit. The formation energy is 0.181 eV/atom. As for the calculated volume: 32.434 A^3/atom. The calculation puts the raw total energy at -3.7741 eV per atom. The distance to the lowest polymorph of the same formula comes out at 0.191 eV per atom.



9.
Below is a relaxed Cs2AlBiSe4 crystal, with properties calculated at the GGA-PBE level.

Structure (extended XYZ):
```
16
Lattice="6.729 0.000 0.000 3.364 7.548 0.000 3.364 0.000 13.003" Properties=species:S:1:pos:R:3 pbc="T T T"
Cs 3.364 0.000 8.311
Cs 6.729 0.000 4.692
Cs 8.411 3.774 11.194
Cs 8.411 3.774 1.809
Al 5.047 3.774 6.502
Al 3.364 0.000 0.000
Bi 8.411 3.774 6.502
Bi 0.000 0.000 0.000
Se 5.344 6.101 1.385
Se 5.344 1.447 11.618
Se 11.478 6.101 11.618
Se 4.749 1.447 1.385
Se 6.432 5.222 5.116
Se 6.432 2.327 7.887
Se 10.390 5.222 7.887
Se 3.661 2.327 5.116
```

Computed properties:
For the spin magnetization, the calculation gives 0.000 μB per formula unit. As for the calculated volume: 41.278 A^3/atom. The calculation puts the raw total energy at -3.8040 eV per atom. The uncorrected formation energy is -895 meV per atom.



10.
Below is a relaxed PmAg3F6 crystal, with properties calculated at the GGA-PBE level.

Structure (extended XYZ):
```
10
Lattice="3.964 0.000 0.000 0.000 6.986 -0.309 0.000 -2.491 6.534" Properties=species:S:1:pos:R:3 pbc="T T T"
Pm 0.000 2.248 3.113
Ag 1.982 3.493 -0.155
Ag 0.000 0.000 0.000
Ag 1.982 -1.245 3.267
F 0.000 -0.002 2.350
F 0.000 4.497 3.875
F 0.000 2.232 0.737
F 0.000 2.264 5.488
F 1.982 3.308 2.347
F 1.982 1.187 3.879
```

Computed properties:
For the spin magnetization, the calculation gives 0.000 μB per formula unit. As for the calculated volume: 17.792 A^3/atom. The calculation puts the raw total energy at -4.6399 eV per atom. The uncorrected formation energy is -2187 meV per atom.



11.
Below is a relaxed Pm2Zn2InPd5 crystal, with properties calculated at the GGA-PBE level.

Structure (extended XYZ):
```
20
Lattice="-2.091 2.965 -1.227 -5.142 -6.060 -5.882 -6.494 -1.565 7.290" Properties=species:S:1:pos:R:3 pbc="T T T"
Pm -4.634 -4.382 -2.691
Pm -7.003 -3.244 4.100
Pm -3.007 -1.579 1.310
Pm -8.629 -6.046 0.098
Zn -4.634 -1.691 3.813
Zn -7.003 -5.934 -2.405
Zn -8.904 -5.131 2.779
Zn -2.732 -2.494 -1.371
In 0.000 0.000 0.000
In -5.818 -3.813 0.704
Pd -2.550 0.110 -1.367
Pd -11.178 -4.770 1.548
Pd -6.517 -0.153 4.763
Pd -7.515 -3.497 -1.621
Pd -7.211 -4.507 -4.581
Pd -6.213 -1.163 1.802
Pd -8.563 -3.056 1.232
Pd -5.165 -1.604 -1.050
Pd -3.617 -1.548 -3.554
Pd -4.293 0.700 3.032
```

Computed properties:
For the spin magnetization, the calculation gives 0.000 μB per formula unit. The formation energy is -0.679 eV/atom. As for the calculated volume: 18.724 A^3/atom. The calculation puts the raw total energy at -4.7541 eV per atom.



12.
Below is a relaxed TmLuCo2 crystal, with properties calculated at the GGA-PBE level.

Structure (extended XYZ):
```
4
Lattice="-2.390 1.351 -1.801 -3.156 -2.333 2.437 -0.277 3.505 2.997" Properties=species:S:1:pos:R:3 pbc="T T T"
Tm -1.195 0.676 -0.900
Lu -2.911 1.262 1.817
Co -0.138 1.752 1.499
Co -1.578 -1.167 1.219
```

Computed properties:
For the spin magnetization, the calculation gives 0.604 μB per formula unit. The formation energy is -0.241 eV/atom. As for the calculated volume: 17.521 A^3/atom. The calculation puts the raw total energy at -6.0424 eV per atom.



> Number 10 is which compound?

PmAg3F6